Density functional theory data (PBE-GGA) for crystalline Er2As6Pd21 at its relaxed geometry.

Results
ΔH_f (0 K), eV per atom: -0.51
Fermi-level density of states, states/eV/atom: 0.417
Space group: Fm-3m (225)
Volume, Å³ per cell: 485
Mass density, kg/m3: 10333

Cell lengths 8.820, 8.820, 8.820 Å; angles 60.00, 60.00, 60.00 degrees
Fractional coordinates of all 29 atoms:
Er 0.250 0.250 0.250
Er 0.750 0.750 0.750
As 0.238 0.238 0.762
As 0.238 0.762 0.238
As 0.238 0.762 0.762
As 0.762 0.238 0.238
As 0.762 0.238 0.762
As 0.762 0.762 0.238
Pd 0.118 0.118 0.118
Pd 0.118 0.118 0.646
Pd 0.118 0.646 0.118
Pd 0.152 0.500 0.500
Pd 0.152 0.500 0.848
Pd 0.152 0.848 0.500
Pd 0.354 0.882 0.882
Pd 0.500 0.152 0.500
Pd 0.500 0.152 0.848
Pd 0.500 0.500 0.152
Pd 0.500 0.500 0.500
Pd 0.500 0.500 0.848
Pd 0.500 0.848 0.152
Pd 0.500 0.848 0.500
Pd 0.646 0.118 0.118
Pd 0.848 0.152 0.500
Pd 0.848 0.500 0.152
Pd 0.848 0.500 0.500
Pd 0.882 0.354 0.882
Pd 0.882 0.882 0.354
Pd 0.882 0.882 0.882